## LiHfTe2I (PBE-GGA)

Data for a geometry-optimized LiHfTe2I structure.

Results
As for the density of states at the Fermi level: 4.1 states/eV/f.u. The calculation puts the energy above the most stable polymorph in this dataset at 756.7 meV/atom. The value obtained for the size of the total moment is 0.4 μB per cell. For the formation energy from raw total energies, the calculation gives 289.2 meV/atom. Its density is 7.1 g/cm³.

Cell lengths 5.1004, 5.1004, 5.1246 Å; angles 90.00, 90.00, 90.00 degrees
Closest atoms and distances in Å follow each position.
Space group P4/mmm (No. 123)
One atom of each set of equivalent atoms:
Li 0.0000 0.0000 0.0000 [1 per cell]  4 Te 2.55, 2 I 2.56
Hf 0.5000 0.5000 0.5000 [1 per cell]  4 I 3.61, 8 Te 3.62
Te 0.0000 0.5000 0.0000 [2 per cell]  2 Li 2.55
I 0.0000 0.0000 0.5000 [1 per cell]  2 Li 2.56

## Ba10Sr6Li (PBE-GGA)

Data for a geometry-optimized Ba10Sr6Li structure.

Results
The value obtained for the energy relative to the elements is 0.094 eV/atom. As for the density of states at the Fermi level: 28.1 states/eV/f.u. The value obtained for the size of the total moment is 0.0 μB per cell. Its density is 3.1 g/cm³.

Cell lengths 12.1341, 12.1341, 8.0372 Å; angles 90.00, 90.00, 120.00 degrees
Closest atoms and distances in Å follow each position.
Space group P-31m (No. 162)
One atom of each set of equivalent atoms:
Ba 0.0000 0.2464 0.2605 [6 per cell]  1 Li 3.65
Ba 0.3333 0.6667 0.0000 [2 per cell]  2 Ba 4.02, 6 Sr 4.16
Ba 0.3333 0.6667 0.5000 [2 per cell]  2 Ba 4.02, 6 Sr 4.24
Sr 0.0000 0.4053 0.7599 [6 per cell]  9 Ba 4.16-4.46, 1 Sr 4.49
Li 0.0000 0.0000 0.0000 [1 per cell]  6 Ba 3.65

## Li3Tc (PBE-GGA)

Data for a geometry-optimized Li3Tc structure.

Results
The value obtained for the energy relative to the elements is 0.158 eV/atom. As for the density of states at the Fermi level: 1.5 states/eV/f.u. The calculation puts the energy above the most stable polymorph in this dataset at 0.0 meV/atom. The value obtained for the size of the total moment is 0.0 μB per cell. Its density is 3.2 g/cm³.

Cell lengths 2.5441, 2.5441, 9.5179 Å; angles 90.00, 90.00, 90.00 degrees
Closest atoms and distances in Å follow each position.
Space group P4/mmm (No. 123)
One atom of each set of equivalent atoms:
Li 0.0000 0.0000 0.0000 [1 per cell]  4 Li 2.54
Li 0.5000 0.5000 0.2699 [2 per cell]  4 Li 2.54, 4 Tc 2.83
Tc 0.0000 0.0000 0.5000 [1 per cell]  4 Tc 2.54, 8 Li 2.83

## RbBaHI2 (PBE-GGA)

Data for a geometry-optimized RbBaHI2 structure.

Results
As for the density of states at the Fermi level: 0.0 states/eV/f.u. The value obtained for the size of the total moment is 0.0 μB per cell. As for the total energy: -3.03 eV/atom. Its density is 3.4 g/cm³.

Cell lengths 6.8650, 6.8650, 5.0135 Å; angles 90.00, 90.00, 90.00 degrees
Closest atoms and distances in Å follow each position.
Space group P4/mmm (No. 123)
One atom of each set of equivalent atoms:
Rb 0.0000 0.0000 0.0000 [1 per cell]  8 I 4.25
Ba 0.5000 0.5000 0.5000 [1 per cell]  2 H 2.51
H 0.5000 0.5000 0.0000 [1 per cell]  2 Ba 2.51
I 0.0000 0.5000 0.5000 [2 per cell]  2 Ba 3.43

## CdBW (PBE-GGA)

Data for a geometry-optimized CdBW structure.

Results
The value obtained for the energy relative to the elements is 0.234 eV/atom. As for the density of states at the Fermi level: 1.1 states/eV/f.u. The calculation puts the energy above the most stable polymorph in this dataset at 239.7 meV/atom. The value obtained for the size of the total moment is 0.0 μB per cell. Its density is 10.9 g/cm³.

Cell lengths 3.2164, 11.0650, 5.2462 Å; angles 90.00, 90.00, 90.00 degrees
Closest atoms and distances in Å follow each position.
Space group Cmcm (No. 63)
One atom of each set of equivalent atoms:
Cd 0.0000 0.2147 0.2500 [4 per cell]  5 W 3.00-3.15, 4 B 3.15, 6 Cd 3.17-3.22
B 0.0000 0.5000 0.0000 [4 per cell]  4 W 2.17
W 0.0000 0.0566 0.7500 [4 per cell]  4 B 2.17

## Tc2TeSe (PBE-GGA)

Data for a geometry-optimized Tc2TeSe structure.

Results
As for the density of states at the Fermi level: 5.7 states/eV/f.u. The calculation puts the energy above the most stable polymorph in this dataset at 783.6 meV/atom. The value obtained for the size of the total moment is 0.0 μB per cell. For the formation energy from raw total energies, the calculation gives 771.8 meV/atom. Its density is 9.2 g/cm³.

Cell lengths 6.0282, 8.4648, 3.3420 Å; angles 90.00, 121.27, 90.00 degrees
Closest atoms and distances in Å follow each position.
Space group C2/m (No. 12)
One atom of each set of equivalent atoms:
Tc 0.2500 0.2500 0.0000 [4 per cell]  2 Te 2.63, 2 Se 2.63
Te 0.0000 0.0000 0.5000 [2 per cell]  4 Tc 2.63
Se 0.0000 0.5000 0.5000 [2 per cell]  4 Tc 2.63

## La2ReNi (PBE-GGA)

Data for a geometry-optimized La2ReNi structure.

Results
The value obtained for the energy relative to the elements is 0.054 eV/atom. As for the density of states at the Fermi level: 5.1 states/eV/f.u. The calculation puts the energy above the most stable polymorph in this dataset at 0.0 meV/atom. The value obtained for the size of the total moment is 0.0 μB per cell. Its density is 8.7 g/cm³.

Cell lengths 4.4865, 4.3062, 5.6023 Å; angles 90.00, 113.56, 90.00 degrees
Closest atoms and distances in Å follow each position.
Space group Pm (No. 6)
One atom of each set of equivalent atoms:
La 0.0000 0.0000 0.0000 [1 per cell]  3 Ni 3.04-3.07, 4 Re 3.28-3.29
La 0.2940 0.5000 0.5871 [1 per cell]  3 Re 2.97-3.17, 4 Ni 3.24-3.25
Re 0.6007 0.5000 0.2051 [1 per cell]  2 Ni 2.39
Ni 0.7056 0.0000 0.4072 [1 per cell]  2 Re 2.39

## As2RuPb (PBE-GGA)

Data for a geometry-optimized As2RuPb structure.

Results
The value obtained for the energy relative to the elements is 0.603 eV/atom. As for the density of states at the Fermi level: 4.7 states/eV/f.u. The value obtained for the size of the total moment is 0.0 μB per cell. Its density is 9.7 g/cm³.

Cell lengths 4.8680, 4.8680, 3.3100 Å; angles 90.00, 90.00, 90.00 degrees
Closest atoms and distances in Å follow each position.
Space group P4/mmm (No. 123)
One atom of each set of equivalent atoms:
As 0.0000 0.5000 0.0000 [2 per cell]  4 Pb 2.94, 4 Ru 2.94
Ru 0.0000 0.0000 0.5000 [1 per cell]  8 As 2.94
Pb 0.5000 0.5000 0.5000 [1 per cell]  8 As 2.94

## Cd4I (PBE-GGA)

Data for a geometry-optimized Cd4I structure.

Results
As for the density of states at the Fermi level: 2.3 states/eV/f.u. The value obtained for the size of the total moment is 0.0 μB per cell. For the formation energy from raw total energies, the calculation gives 472.1 meV/atom. Its density is 3.5 g/cm³.

Cell lengths 6.4888, 6.4888, 6.4888 Å; angles 90.00, 90.00, 90.00 degrees
Closest atoms and distances in Å follow each position.
Space group Pm-3m (No. 221)
One atom of each set of equivalent atoms:
Cd 0.0000 0.0000 0.0000 [1 per cell]  12 Cd 4.59
Cd 0.0000 0.5000 0.5000 [3 per cell]  2 I 3.24
I 0.5000 0.5000 0.5000 [1 per cell]  6 Cd 3.24

## Sm6InPd (PBE-GGA)

Data for a geometry-optimized Sm6InPd structure.

Results
The value obtained for the energy relative to the elements is -0.238 eV/atom. As for the density of states at the Fermi level: 8.1 states/eV/f.u. The value obtained for the size of the total moment is 0.0 μB per cell. Its density is 8.0 g/cm³.

Cell lengths 6.3014, 6.3020, 6.5556 Å; angles 96.39, 96.48, 113.84 degrees
Closest atoms and distances in Å follow each position.
Space group P-1 (No. 2)
One atom of each set of equivalent atoms:
Sm 0.0858 0.1584 0.2336 [2 per cell]  1 Pd 2.96, 1 Sm 3.27
Sm 0.2548 0.7540 0.4205 [2 per cell]  1 Pd 2.95
Sm 0.3407 0.4139 0.7666 [2 per cell]  1 Pd 2.96, 1 Sm 3.27
In 0.5000 0.0000 0.0000 [1 per cell]  2 Pd 3.44, 12 Sm 3.52-3.83
Pd 0.0000 0.5000 0.0000 [1 per cell]  6 Sm 2.95-2.96

## PuThAgRh (PBE-GGA)

Data for a geometry-optimized PuThAgRh structure.

Results
The value obtained for the energy relative to the elements is -0.247 eV/atom. As for the density of states at the Fermi level: 10.5 states/eV/f.u. The value obtained for the size of the total moment is 22.6 μB per cell. Its density is 12.3 g/cm³.

Cell lengths 7.1933, 7.1933, 7.1933 Å; angles 90.00, 90.00, 90.00 degrees
Closest atoms and distances in Å follow each position.
Space group F-43m (No. 216)
One atom of each set of equivalent atoms:
Pu 0.0000 0.0000 0.0000 [4 per cell]  4 Rh 3.11, 4 Ag 3.11
Th 0.0000 0.0000 0.5000 [4 per cell]  4 Rh 3.11, 4 Ag 3.11
Ag 0.2500 0.2500 0.2500 [4 per cell]  4 Th 3.11, 4 Pu 3.11
Rh 0.2500 0.2500 0.7500 [4 per cell]  4 Th 3.11, 4 Pu 3.11

## CrCoAu2Br (PBE-GGA)

Data for a geometry-optimized CrCoAu2Br structure.

Results
As for the density of states at the Fermi level: 6.2 states/eV/f.u. The value obtained for the size of the total moment is 6.3 μB per cell. For the formation energy from raw total energies, the calculation gives 755.2 meV/atom. Its density is 8.8 g/cm³.

Cell lengths 4.9438, 4.9438, 4.5271 Å; angles 90.00, 90.00, 90.00 degrees
Closest atoms and distances in Å follow each position.
Space group P4/mmm (No. 123)
One atom of each set of equivalent atoms:
Cr 0.0000 0.0000 0.0000 [1 per cell]  8 Au 3.35, 4 Br 3.50
Co 0.5000 0.5000 0.5000 [1 per cell]  2 Br 2.26, 4 Au 2.47
Au 0.0000 0.5000 0.5000 [2 per cell]  2 Co 2.47
Br 0.5000 0.5000 0.0000 [1 per cell]  2 Co 2.26